The following is a DFT calculation (PBE-GGA) of Be4Ag after structural relaxation.

Computed properties:
Distance to the lowest polymorph of the same formula (eV per atom): 0.515
Size of the total moment (μB per cell): 0.00
DOS at the Fermi energy (states/eV/f.u.): 1.71
Volume (A^3/atom): 11.9
E_tot (eV/atom): -2.903
E_form (eV per atom): 0.648

Cell: 2.5804 2.5804 10.3243 Å, 90.00 90.00 120.00°
Space group P-3m1 (No. 164)
One atom of each set of equivalent atoms:
Be (0.3333, 0.6667, 0.2011) [2 per cell]
Be (0.3333, 0.6667, 0.4187) [2 per cell]
Ag (0.0000, 0.0000, 0.0000) [1 per cell]